Record 1
{
  "formula": "La4PbSe",
  "functional": "PBE-GGA",
  "state": "optimized geometry",
  "cell": [[0.0000, 4.5536, 4.5536], [4.5536, 0.0000, 4.5536], [4.5536, 4.5536, 0.0000]],
  "species": ["Pb", "La", "La", "La", "Se", "La"],
  "frac_coords": [[0.7500, 0.7500, 0.7500], [0.8713, 0.3762, 0.3762], [0.3762, 0.8713, 0.3762], [0.3762, 0.3762, 0.8713], [0.0000, 0.0000, 0.0000], [0.3762, 0.3762, 0.3762]]
}

---

Record 2
{
  "formula": "LaPbSe3",
  "functional": "PBE-GGA",
  "state": "optimized geometry",
  "polymorph_energy_mev_per_atom": 513.3,
  "cell": [[-2.2902, 4.8625, 0.3070], [-2.8994, -1.6328, 4.2321], [3.9155, 1.6350, 3.3134]],
  "species": ["Se", "Pb", "La", "Se", "Se"],
  "frac_coords": [[0.0000, 0.0000, 0.5000], [0.0000, 0.0000, 0.0000], [0.5000, 0.5000, 0.5000], [0.0000, 0.5000, 0.0000], [0.5000, 0.0000, 0.0000]]
}

---

Record 3
{
  "formula": "La2PbSe",
  "functional": "PBE-GGA",
  "state": "optimized geometry",
  "polymorph_energy_mev_per_atom": 892.6,
  "cell": [[5.4545, 0.0000, 0.0000], [2.7273, 4.7238, 0.0000], [2.7273, 1.5746, 4.4536]],
  "species": ["La", "Se", "La", "Pb"],
  "frac_coords": [[0.0000, 0.0000, 0.0000], [0.7500, 0.7500, 0.7500], [0.2500, 0.2500, 0.2500], [0.5000, 0.5000, 0.5000]]
}

---

Record 4
{
  "formula": "La2PbSe",
  "functional": "PBE-GGA",
  "state": "optimized geometry",
  "polymorph_energy_mev_per_atom": 41.9,
  "cell": [[-4.5198, 5.0348, 3.8965], [-7.1294, 3.0919, 0.7559], [-6.2319, 0.9115, 4.6144]],
  "species": ["Pb", "La", "La", "Se"],
  "frac_coords": [[0.2500, 0.2500, 0.2500], [0.0041, 0.0041, 0.0041], [0.4959, 0.4959, 0.4959], [0.7500, 0.7500, 0.7500]]
}

---

Record 5
{
  "formula": "La5Pb3Se",
  "functional": "PBE-GGA",
  "state": "optimized geometry",
  "cell": [[-3.1307, -8.2062, 4.2168], [6.5455, 5.6157, 4.5326], [-5.3103, 3.6455, 3.1519]],
  "species": ["Pb", "La", "Pb", "La", "Pb", "Pb", "La", "La", "La", "La", "La", "Pb", "La", "Se", "Se", "Pb", "La", "La"],
  "frac_coords": [[0.0000, 0.3942, 0.2500], [0.3333, 0.6667, 0.5000], [0.6058, 0.0000, 0.7500], [0.6667, 0.3333, 0.5000], [0.6058, 0.6058, 0.2500], [0.0000, 0.6058, 0.7500], [0.7505, 0.7505, 0.7500], [0.2495, 0.0000, 0.7500], [0.2495, 0.2495, 0.2500], [0.0000, 0.2495, 0.7500], [0.3333, 0.6667, 0.0000], [0.3942, 0.3942, 0.7500], [0.7505, 0.0000, 0.2500], [0.0000, 0.0000, 0.5000], [0.0000, 0.0000, 0.0000], [0.3942, 0.0000, 0.2500], [0.0000, 0.7505, 0.2500], [0.6667, 0.3333, 0.0000]]
}

---

Record 6
{
  "formula": "La2PbSe2",
  "functional": "PBE-GGA",
  "state": "optimized geometry",
  "polymorph_energy_mev_per_atom": 0.0,
  "cell": [[8.5869, 0.0000, 0.0000], [0.0000, 8.5869, 0.0000], [0.0000, 0.0000, 3.8098]],
  "species": ["Se", "Pb", "Se", "La", "Se", "La", "Se", "La", "Pb", "La"],
  "frac_coords": [[0.6361, 0.1361, 0.0000], [0.5000, 0.5000, 0.0000], [0.8639, 0.6361, 0.0000], [0.3371, 0.1629, 0.5000], [0.1361, 0.3639, 0.0000], [0.8371, 0.3371, 0.5000], [0.3639, 0.8639, 0.0000], [0.6629, 0.8371, 0.5000], [0.0000, 0.0000, 0.0000], [0.1629, 0.6629, 0.5000]]
}

---

Values of density of states at the Fermi level, in order: 6.52; 1.82; 3.47; 2.46; 12.03; 7.20, all in states/eV/cell.
Values of E_form (uncorrected), in order: -0.9; -2.7; -1.6; -5.0; -8.7; -6.6, all in eV/f.u..